Entry 1:
Below is Cd3Te5 after structural relaxation, with properties calculated at the PBE level.

Results
uncorrected energy	-2.3169	eV/atom
distance to the lowest polymorph of the same formula	0.000	eV/atom

Lattice parameters (Å, degrees): 10.936 10.574 6.025 90.00 90.00 118.69
Element x y z (fractional)
1 Te 0.347 0.672 0.968
2 Te 0.653 0.328 0.468
3 Te 0.653 0.328 0.032
4 Te 0.347 0.672 0.532
5 Te 0.260 0.952 0.250
6 Te 0.740 0.048 0.750
7 Te 0.041 0.317 0.250
8 Te 0.701 0.738 0.250
9 Te 0.299 0.262 0.750
10 Te 0.959 0.683 0.750
11 Cd 0.802 0.040 0.250
12 Cd 0.198 0.960 0.750
13 Cd 0.970 0.760 0.250
14 Cd 0.228 0.204 0.250
15 Cd 0.772 0.796 0.750
16 Cd 0.030 0.240 0.750

Entry 2:
Below is Cd3Te after structural relaxation, with properties calculated at the PBE level.

Results
uncorrected energy	-1.4047	eV/atom
distance to the lowest polymorph of the same formula	0.168	eV/atom

Lattice parameters (Å, degrees): 4.679 4.679 4.679 90.00 90.00 90.00
Element x y z (fractional)
1 Te 0.000 0.000 0.000
2 Cd 0.000 0.500 0.500
3 Cd 0.500 0.000 0.500
4 Cd 0.500 0.500 0.000

Entry 3:
Below is Cd3Te4 after structural relaxation, with properties calculated at the PBE level.

Results
uncorrected energy	-2.2321	eV/atom
distance to the lowest polymorph of the same formula	0.127	eV/atom

Lattice parameters (Å, degrees): 6.016 6.016 6.016 90.00 90.00 90.00
Element x y z (fractional)
1 Cd 0.000 0.500 0.000
2 Cd 0.000 0.000 0.500
3 Cd 0.500 0.000 0.000
4 Te 0.000 0.000 0.000
5 Te 0.000 0.500 0.500
6 Te 0.500 0.000 0.500
7 Te 0.500 0.500 0.000